Entry A
A relaxed structure of Mg3AlFe, computed with GGA-PBE.

Properties
total moment: 1.51 Bohr magnetons per cell
symmetry: Pm-3m (221)

a = 4.8705 Å, b = 4.8705 Å, c = 4.8705 Å
α = 90.00°, β = 90.00°, γ = 90.00°
Last column: nearest neighbours and their distance in Å.
Atoms (fractional coordinates):
Mg 0.0000 0.5000 0.0000  2 Fe 2.44
Mg 0.0000 0.0000 0.5000  2 Fe 2.44
Mg 0.5000 0.0000 0.0000  2 Fe 2.44
Fe 0.0000 0.0000 0.0000  6 Mg 2.44
Al 0.5000 0.5000 0.5000  12 Mg 3.44

Entry B
A relaxed structure of Mg3AlFe, computed with GGA-PBE.

Properties
total moment: 3.22 Bohr magnetons per cell
symmetry: Pm-3m (221)

a = 5.0781 Å, b = 5.0781 Å, c = 5.0781 Å
α = 90.00°, β = 90.00°, γ = 90.00°
Last column: nearest neighbours and their distance in Å.
Atoms (fractional coordinates):
Mg 0.0000 0.5000 0.0000  2 Al 2.54
Mg 0.0000 0.0000 0.5000  2 Al 2.54
Mg 0.5000 0.0000 0.0000  2 Al 2.54
Fe 0.5000 0.5000 0.5000  12 Mg 3.59
Al 0.0000 0.0000 0.0000  6 Mg 2.54

Which of them is most stable? Easy: entry A.